No. 1
## SiTeAs2 (PBE-GGA)

Data for SiTeAs2 after structural relaxation.

Cell and atoms, written as CIF:
```
data_SiTeAs2
_cell_length_a 4.9606
_cell_length_b 4.9606
_cell_length_c 3.3852
_cell_angle_alpha 90.00
_cell_angle_beta 90.00
_cell_angle_gamma 90.00
_space_group_name_H-M_alt 'P 4/m m m'
_space_group_IT_number 123
_space_group_name_Hall '-P 4 2'
loop_
_atom_site_label
_atom_site_fract_x
_atom_site_fract_y
_atom_site_fract_z
_atom_site_occupancy
Si1 0.0000 0.0000 0.0000 1
Te1 0.5000 0.5000 0.0000 1
As1 0.0000 0.5000 0.5000 1
```



No. 2
## Si2TeAs (PBE-GGA)

Data for Si2TeAs after structural relaxation.

Cell and atoms, written as CIF:
```
data_Si2TeAs
_cell_length_a 3.3982
_cell_length_b 4.7754
_cell_length_c 10.1139
_cell_angle_alpha 90.00
_cell_angle_beta 90.00
_cell_angle_gamma 90.00
_space_group_name_H-M_alt 'I m m 2'
_space_group_IT_number 44
_space_group_name_Hall 'I 2 -2'
loop_
_atom_site_label
_atom_site_fract_x
_atom_site_fract_y
_atom_site_fract_z
_atom_site_occupancy
Si1 0.0000 0.0000 0.0000 1
Si2 0.0000 0.5000 0.3019 1
Te1 0.0000 0.5000 0.8199 1
As1 0.0000 0.0000 0.6109 1
```



These records have energy relative to the elements, uncorrected values of 544; 511 meV per atom, in the order they appear.
These records have offset from the most stable computed form values of 1.62; 1.57 eV/f.u., in the order they appear.